Record 1
This record from Alexandria via LeMat-Bulk describes an optimized crystal structure of HfAlN3. The functional is PBE-GGA.

Output
ΔE_f (raw) (kJ/mol of atoms): 61.3
E (eV per atom): -7.099
M_tot (μB/f.u.): 2.08

Cell and atoms, written as CIF:
```
data_HfAlN3
_chemical_formula_sum 'Hf1 Al1 N3'
_cell_length_a 4.135
_cell_length_b 4.135
_cell_length_c 4.135
_cell_angle_alpha 90.00
_cell_angle_beta 90.00
_cell_angle_gamma 90.00
_symmetry_space_group_name_H-M 'P m -3 m'
_symmetry_Int_Tables_number 221
_symmetry_space_group_name_Hall '-P 4 2 3'
loop_
_atom_site_label
_atom_site_type_symbol
_atom_site_fract_x
_atom_site_fract_y
_atom_site_fract_z
_atom_site_occupancy
Hf1 Hf 0.000 0.000 0.000 1
Al1 Al 0.500 0.500 0.500 1
N1 N 0.000 0.000 0.500 1
```

Record 2
This record from Alexandria via LeMat-Bulk describes an optimized crystal structure of Hf3Al5N12. The functional is PBE-GGA.

Output
ΔE_f (raw) (kJ/mol of atoms): -42.7
E (eV per atom): -7.866
M_tot (μB/f.u.): 0.01

Cell and atoms, written as CIF:
```
data_Hf3Al5N12
_chemical_formula_sum 'Hf24 Al40 N96'
_cell_length_a 12.030
_cell_length_b 12.030
_cell_length_c 12.030
_cell_angle_alpha 90.00
_cell_angle_beta 90.00
_cell_angle_gamma 90.00
_symmetry_space_group_name_H-M 'I a -3 d'
_symmetry_Int_Tables_number 230
_symmetry_space_group_name_Hall '-I 4bd 2c 3'
loop_
_atom_site_label
_atom_site_type_symbol
_atom_site_fract_x
_atom_site_fract_y
_atom_site_fract_z
_atom_site_occupancy
Hf1 Hf 0.000 0.250 0.125 1
Al1 Al 0.000 0.000 0.000 1
Al2 Al 0.000 0.250 0.375 1
N1 N 0.028 0.067 0.651 1
```

Record 3
This record from Alexandria via LeMat-Bulk describes an optimized crystal structure of Hf6Al2N. The functional is PBE-GGA.

Output
ΔE_f (raw) (kJ/mol of atoms): -53.8
E (eV per atom): -8.950
M_tot (μB/f.u.): 0.00

Cell and atoms, written as CIF:
```
data_Hf6Al2N
_chemical_formula_sum 'Hf12 Al4 N2'
_cell_length_a 6.214
_cell_length_b 6.214
_cell_length_c 8.748
_cell_angle_alpha 90.00
_cell_angle_beta 90.00
_cell_angle_gamma 90.00
_symmetry_space_group_name_H-M 'I 4/m m m'
_symmetry_Int_Tables_number 139
_symmetry_space_group_name_Hall '-I 4 2'
loop_
_atom_site_label
_atom_site_type_symbol
_atom_site_fract_x
_atom_site_fract_y
_atom_site_fract_z
_atom_site_occupancy
Hf1 Hf 0.000 0.000 0.244 1
Hf2 Hf 0.246 0.246 0.000 1
Al1 Al 0.000 0.500 0.250 1
N1 N 0.000 0.000 0.500 1
```